Run 1
# RbTeCl GGA-PBE relaxed
# V: 127.8 Å³/cell
# Crystal system: triclinic
# Space group: P1
data_RbTeCl
_chemical_formula_sum 'Rb1 Te1 Cl1'
_symmetry_space_group_name_H-M 'P 1'
_symmetry_Int_Tables_number 1
_cell_length_a 5.1585
_cell_length_b 5.2781
_cell_length_c 5.5671
_cell_angle_alpha 62.66
_cell_angle_beta 88.97
_cell_angle_gamma 73.32
loop_
_symmetry_equiv_pos_as_xyz
'x,y,z'
loop_
_atom_site_label
_atom_site_fract_x
_atom_site_fract_y
_atom_site_fract_z
Cl1 0.2186 0.1423 0.3006
Te1 0.0986 0.6751 0.3121
Rb1 0.6227 0.5259 0.8647

Run 2
# RbTeCl GGA-PBE relaxed
# V: 241.3 Å³/cell
# Crystal system: triclinic
# Space group: P-1
data_RbTeCl
_chemical_formula_sum 'Rb2 Te2 Cl2'
_symmetry_space_group_name_H-M 'P 1'
_symmetry_Int_Tables_number 1
_cell_length_a 4.4329
_cell_length_b 4.4328
_cell_length_c 12.2795
_cell_angle_alpha 90.58
_cell_angle_beta 90.71
_cell_angle_gamma 89.99
loop_
_symmetry_equiv_pos_as_xyz
'x,y,z'
loop_
_atom_site_label
_atom_site_fract_x
_atom_site_fract_y
_atom_site_fract_z
Rb1 0.2552 0.7542 0.1386
Rb2 0.7448 0.2458 0.8614
Cl1 0.7551 0.2540 0.1376
Cl2 0.2449 0.7460 0.8624
Te1 0.7497 0.2499 0.4918
Te2 0.2503 0.7501 0.5082

Run 3
# RbTeCl GGA-PBE relaxed
# V: 110.5 Å³/cell
# Crystal system: monoclinic
# Space group: P2/m
data_RbTeCl
_chemical_formula_sum 'Rb1 Te1 Cl1'
_symmetry_space_group_name_H-M 'P 1'
_symmetry_Int_Tables_number 1
_cell_length_a 5.5080
_cell_length_b 3.6020
_cell_length_c 5.8218
_cell_angle_alpha 90.00
_cell_angle_beta 106.99
_cell_angle_gamma 90.00
loop_
_symmetry_equiv_pos_as_xyz
'x,y,z'
loop_
_atom_site_label
_atom_site_fract_x
_atom_site_fract_y
_atom_site_fract_z
Cl1 0.5000 0.5000 0.0000
Rb1 0.0000 0.0000 0.0000
Te1 0.5000 0.5000 0.5000

Most stable: run 2. Least stable: run 1.

Run 1
# Rb2TlTeCl6 GGA-PBE relaxed
# V: 371.4 Å³/cell
# Crystal system: tetragonal
# Space group: I4/mmm
data_Rb2TlTeCl6
_chemical_formula_sum 'Rb2 Tl1 Te1 Cl6'
_symmetry_space_group_name_H-M 'P 1'
_symmetry_Int_Tables_number 1
_cell_length_a 7.8761
_cell_length_b 7.8761
_cell_length_c 8.1774
_cell_angle_alpha 61.21
_cell_angle_beta 61.21
_cell_angle_gamma 90.00
loop_
_symmetry_equiv_pos_as_xyz
'x,y,z'
loop_
_atom_site_label
_atom_site_fract_x
_atom_site_fract_y
_atom_site_fract_z
Cl1 0.7574 0.7574 0.4852
Cl2 0.2692 0.2692 0.0000
Cl3 0.7308 0.7308 0.0000
Cl4 0.2692 0.7308 0.0000
Cl5 0.2426 0.2426 0.5148
Cl6 0.7308 0.2692 0.0000
Rb1 0.7500 0.2500 0.5000
Rb2 0.2500 0.7500 0.5000
Te1 0.5000 0.5000 0.0000
Tl1 0.0000 0.0000 0.0000

Run 2
# Rb2TlTeCl6 GGA-PBE relaxed
# V: 357.7 Å³/cell
# Crystal system: triclinic
# Space group: P1
data_Rb2TlTeCl6
_chemical_formula_sum 'Rb2 Tl1 Te1 Cl6'
_symmetry_space_group_name_H-M 'P 1'
_symmetry_Int_Tables_number 1
_cell_length_a 8.2650
_cell_length_b 8.0691
_cell_length_c 8.1262
_cell_angle_alpha 60.33
_cell_angle_beta 53.18
_cell_angle_gamma 58.94
loop_
_symmetry_equiv_pos_as_xyz
'x,y,z'
loop_
_atom_site_label
_atom_site_fract_x
_atom_site_fract_y
_atom_site_fract_z
Te1 0.3163 0.3161 0.0513
Cl1 0.5721 0.1109 0.3092
Cl2 0.9786 0.4766 0.3483
Cl3 0.4310 0.6298 0.8851
Cl4 0.0605 0.5218 0.7935
Cl5 0.2015 0.0023 0.2169
Cl6 0.6543 0.1555 0.7543
Tl1 0.8161 0.8162 0.5515
Rb1 0.0675 0.1014 0.7973
Rb2 0.5637 0.5311 0.3078

Most stable: run 2. Least stable: run 1.